# 1
The following is a DFT calculation (PBE-GGA) of crystalline NdHo3Er6Th2 at its relaxed geometry.

Values from the calculation:
* formation energy: 0.39 eV/f.u.
* space-group type: C2/m (12)
* electronic total energy: -60.33 eV/f.u.
* total magnetic moment: 0.000 μB/f.u.

extended XYZ file:
```
12
Lattice="6.147 0.002 0.005 -3.071 5.325 0.005 -1.036 -1.794 11.479" Properties=species:S:1:pos:R:3 pbc="T T T"
Er 0.005 0.010 8.617
Er -1.039 1.797 2.866
Ho 1.020 1.766 5.745
Ho 4.096 -0.010 5.745
Er 2.076 -0.002 2.866
Er 3.079 1.736 8.624
Er -0.035 3.535 8.624
Ho -2.056 3.543 5.745
Nd 0.000 0.000 0.000
Th 3.076 1.775 0.005
Er 2.035 3.523 2.873
Th 0.001 3.551 0.005
```

# 2
The following is a DFT calculation (PBE-GGA) of crystalline Nd2Ho5ErTh at its relaxed geometry.

Values from the calculation:
* formation energy: 1.54 eV/f.u.
* space-group type: Cmc2_1 (36)
* electronic total energy: -42.87 eV/f.u.
* total magnetic moment: 0.000 μB/f.u.

extended XYZ file:
```
18
Lattice="-3.339 4.107 1.844 -2.771 -1.664 -9.829 -7.153 -7.274 3.248" Properties=species:S:1:pos:R:3 pbc="T T T"
Ho -9.456 -3.699 -0.365
Ho -4.730 -2.070 -3.953
Ho -0.320 -0.173 -0.194
Nd -6.759 0.651 -5.170
Nd -3.289 -2.220 -1.010
Ho -4.944 0.692 -1.973
Ho -6.377 -1.657 0.662
Th -9.251 -4.830 2.524
Ho -3.551 0.346 1.318
Nd -6.275 -5.249 0.328
Ho -7.729 -4.922 -3.032
Ho -9.730 -1.391 -6.001
Ho -9.526 -4.987 -6.140
Nd -10.940 -3.593 -3.288
Th -6.949 -2.988 -5.928
Ho -3.622 0.145 -6.881
Er -7.981 -1.420 -2.770
Er -1.843 0.086 -3.528
```

# 3
The following is a DFT calculation (PBE-GGA) of crystalline Nd6HoEr2Th at its relaxed geometry.

Values from the calculation:
* formation energy: 1.43 eV/f.u.
* space-group type: C2/c (15)
* electronic total energy: -48.30 eV/f.u.
* total magnetic moment: 0.000 μB/f.u.

extended XYZ file:
```
20
Lattice="-2.815 -9.253 0.339 6.224 -1.037 6.244 -7.834 3.114 2.780" Properties=species:S:1:pos:R:3 pbc="T T T"
Th -9.509 -3.955 3.142
Nd -4.227 -4.030 5.191
Er 0.096 -0.155 2.403
Nd -4.670 -6.868 3.587
Nd 2.313 -5.614 5.257
Nd -6.739 -1.562 4.107
Nd -6.379 -4.592 1.874
Nd 2.976 -2.312 3.662
Er -1.835 -2.772 7.106
Nd -5.454 1.721 2.826
Er -4.522 -7.021 6.960
Th 5.084 -3.221 6.221
Ho -2.784 -0.898 4.283
Nd -7.402 -4.863 5.701
Nd -0.199 -3.146 4.172
Nd 1.028 -8.897 6.537
Nd 1.953 -2.583 7.490
Ho -1.642 -6.278 5.081
Nd 0.244 -0.308 5.776
Er -2.591 -4.404 2.258
```

# 4
The following is a DFT calculation (PBE-GGA) of crystalline Nd2Ho4ErTh at its relaxed geometry.

Values from the calculation:
* formation energy: 0.97 eV/f.u.
* space-group type: P4/mmm (123)
* electronic total energy: -38.86 eV/f.u.
* total magnetic moment: 0.000 μB/f.u.

extended XYZ file:
```
8
Lattice="-3.138 0.558 4.939 -2.855 -4.995 -1.249 2.314 -8.884 2.474" Properties=species:S:1:pos:R:3 pbc="T T T"
Ho -3.137 -5.683 2.147
Nd 2.314 -8.884 2.474
Ho -3.276 -2.911 5.244
Ho -0.543 -7.637 4.017
Er -2.997 -2.218 1.845
Nd -0.412 -4.163 3.707
Ho -0.404 -10.409 0.920
Th -0.271 -6.939 0.612
```